(1)
VAs2Rh: optimized geometry, GGA-PBE.

Output
- energy of formation from the pure elements (eV/atom) = -0.1089
- crystal system = trigonal
- density of states at the Fermi level (states/eV/f.u.) = 4.273

Unit cell a=3.7661 b=3.7661 c=5.8625 alpha=71.26 beta=71.26 gamma=60.00
With the nearest neighbours (Å) after each atom.
Element x y z (fractional)
Rh 0.5000 0.5000 0.5000  6 As 2.54
As 0.2471 0.2471 0.2588  3 Rh 2.54, 3 V 2.59
As 0.7529 0.7529 0.7412  3 Rh 2.54, 3 V 2.59
V 0.0000 0.0000 0.0000  6 As 2.59



(2)
VAs2Rh: optimized geometry, GGA-PBE.

Output
- energy of formation from the pure elements (eV/atom) = -0.2110
- crystal system = cubic
- density of states at the Fermi level (states/eV/f.u.) = 2.401

Unit cell a=4.3692 b=4.3692 c=4.3692 alpha=60.00 beta=60.00 gamma=60.00
With the nearest neighbours (Å) after each atom.
Element x y z (fractional)
As 0.2500 0.2500 0.2500  4 Rh 2.68, 4 V 2.68
As 0.7500 0.7500 0.7500  4 Rh 2.68, 4 V 2.68
V 0.0000 0.0000 0.0000  8 As 2.68
Rh 0.5000 0.5000 0.5000  8 As 2.68



(3)
V2AsRh2: optimized geometry, GGA-PBE.

Output
- energy of formation from the pure elements (eV/atom) = -0.1589
- crystal system = tetragonal
- density of states at the Fermi level (states/eV/f.u.) = 4.479

Unit cell a=7.3596 b=7.3596 c=2.7733 alpha=90.00 beta=90.00 gamma=90.00
With the nearest neighbours (Å) after each atom.
Element x y z (fractional)
As 0.0000 0.0000 0.0000  2 As 2.77, 4 Rh 2.86, 8 V 3.10
As 0.5000 0.5000 0.0000  2 As 2.77, 4 Rh 2.86, 8 V 3.10
Rh 0.8650 0.6350 0.0000  6 V 2.56-2.57, 3 Rh 2.77-2.81
Rh 0.6350 0.1350 0.0000  6 V 2.56-2.57, 3 Rh 2.77-2.81
Rh 0.3650 0.8650 0.0000  6 V 2.56-2.57, 3 Rh 2.77-2.81
Rh 0.1350 0.3650 0.0000  6 V 2.56-2.57, 3 Rh 2.77-2.81
V 0.3414 0.1586 0.5000  6 Rh 2.56-2.57, 2 V 2.77
V 0.1586 0.6586 0.5000  6 Rh 2.56-2.57, 2 V 2.77
V 0.8414 0.3414 0.5000  6 Rh 2.56-2.57, 2 V 2.77
V 0.6586 0.8414 0.5000  6 Rh 2.56-2.57, 2 V 2.77



(4)
VZnAs2Rh: optimized geometry, GGA-PBE.

Output
- energy of formation from the pure elements (eV/atom) = 1.0688
- crystal system = tetragonal
- density of states at the Fermi level (states/eV/f.u.) = 8.214

Unit cell a=4.6747 b=4.5290 c=4.6747 alpha=90.00 beta=90.00 gamma=90.00
With the nearest neighbours (Å) after each atom.
Element x y z (fractional)
Zn 0.0000 0.0000 0.0000  2 Rh 2.26, 4 As 2.34
V 0.5000 0.5000 0.5000  8 As 3.25, 4 Rh 3.31
As 0.5000 0.0000 0.0000  2 Zn 2.34
As 0.0000 0.0000 0.5000  2 Zn 2.34
Rh 0.0000 0.5000 0.0000  2 Zn 2.26



(5)
AsRhW2: optimized geometry, GGA-PBE.

Output
- energy of formation from the pure elements (eV/atom) = 0.1720
- crystal system = monoclinic
- density of states at the Fermi level (states/eV/f.u.) = 2.465

Unit cell a=4.9326 b=4.9326 c=4.4802 alpha=82.57 beta=82.57 gamma=35.53
With the nearest neighbours (Å) after each atom.
Element x y z (fractional)
Rh 0.7500 0.7500 0.7500  4 As 2.70, 6 W 2.79-2.82, 2 Rh 3.01
As 0.2500 0.2500 0.2500  6 W 2.69-2.95, 4 Rh 2.70
W 0.4918 0.4918 0.5086  4 W 2.66-2.75, 3 As 2.69-2.95, 3 Rh 2.79-2.82
W 0.0082 0.0082 0.9914  4 W 2.66-2.75, 3 As 2.69-2.95, 3 Rh 2.79-2.82



(6)
As2RhW: optimized geometry, GGA-PBE.

Output
- energy of formation from the pure elements (eV/atom) = -0.0466
- crystal system = monoclinic
- density of states at the Fermi level (states/eV/f.u.) = 2.431

Unit cell a=4.7385 b=3.1100 c=4.5885 alpha=80.56 beta=90.00 gamma=90.00
With the nearest neighbours (Å) after each atom.
Element x y z (fractional)
As 0.0000 0.8106 0.9573  3 Rh 2.47-2.70, 2 W 2.59
As 0.5000 0.4510 0.2903  3 W 2.50-2.66, 2 Rh 2.60
Rh 0.0000 0.4006 0.5245  5 As 2.47-2.70
W 0.5000 0.8378 0.7280  5 As 2.50-2.66



(7)
As2RhW2: optimized geometry, GGA-PBE.

Output
- energy of formation from the pure elements (eV/atom) = 0.3055
- crystal system = tetragonal
- density of states at the Fermi level (states/eV/f.u.) = 3.182

Unit cell a=7.0727 b=7.0727 c=3.1591 alpha=90.00 beta=90.00 gamma=90.00
With the nearest neighbours (Å) after each atom.
Element x y z (fractional)
As 0.3439 0.8439 0.0000  6 W 2.58-2.63, 2 Rh 2.67
As 0.8439 0.6561 0.0000  6 W 2.58-2.63, 2 Rh 2.67
As 0.1561 0.3439 0.0000  6 W 2.58-2.63, 2 Rh 2.67
As 0.6561 0.1561 0.0000  6 W 2.58-2.63, 2 Rh 2.67
W 0.8600 0.3600 0.5000  6 As 2.58-2.63, 1 W 2.80
W 0.1400 0.6400 0.5000  6 As 2.58-2.63, 1 W 2.80
W 0.6400 0.8600 0.5000  6 As 2.58-2.63, 1 W 2.80
W 0.3600 0.1400 0.5000  6 As 2.58-2.63, 1 W 2.80
Rh 0.5000 0.5000 0.0000  4 As 2.67
Rh 0.0000 0.0000 0.0000  4 As 2.67



(8)
As2RhW: optimized geometry, GGA-PBE.

Output
- energy of formation from the pure elements (eV/atom) = 0.0512
- crystal system = cubic
- density of states at the Fermi level (states/eV/f.u.) = 1.396

Unit cell a=4.4242 b=4.4242 c=4.4242 alpha=60.00 beta=60.00 gamma=60.00
With the nearest neighbours (Å) after each atom.
Element x y z (fractional)
As 0.7500 0.7500 0.7500  4 W 2.71, 4 Rh 2.71
As 0.2500 0.2500 0.2500  4 W 2.71, 4 Rh 2.71
Rh 0.0000 0.0000 0.0000  8 As 2.71
W 0.5000 0.5000 0.5000  8 As 2.71



(9)
AsRhW2: optimized geometry, GGA-PBE.

Output
- energy of formation from the pure elements (eV/atom) = 0.1272
- crystal system = monoclinic
- density of states at the Fermi level (states/eV/f.u.) = 3.514

Unit cell a=4.8969 b=4.8969 c=4.6807 alpha=73.21 beta=73.21 gamma=34.99
With the nearest neighbours (Å) after each atom.
Element x y z (fractional)
W 0.2324 0.2324 0.3119  3 As 2.59-2.71, 4 Rh 2.77-2.78
W 0.0139 0.0139 0.9426  3 Rh 2.64-2.67, 4 As 2.76-2.78, 2 W 2.94
Rh 0.7602 0.7602 0.7932  7 W 2.64-2.78, 2 As 2.71, 2 Rh 2.94
As 0.4935 0.4935 0.4523  7 W 2.59-2.78, 2 Rh 2.71



(10)
AsRhW4: optimized geometry, GGA-PBE.

Output
- energy of formation from the pure elements (eV/atom) = 0.7554
- crystal system = cubic
- density of states at the Fermi level (states/eV/f.u.) = 7.184

Unit cell a=5.2665 b=5.2665 c=5.2665 alpha=60.00 beta=60.00 gamma=60.00
With the nearest neighbours (Å) after each atom.
Element x y z (fractional)
W 0.3748 0.3748 0.8756  6 W 2.63-2.64
W 0.8756 0.3748 0.3748  6 W 2.63-2.64
W 0.3748 0.3748 0.3748  6 W 2.63-2.64
W 0.3748 0.8756 0.3748  6 W 2.63-2.64
As 0.7500 0.7500 0.7500  12 W 3.09, 4 Rh 3.23
Rh 0.0000 0.0000 0.0000  12 W 3.09, 4 As 3.23



(11)
As2RhW: optimized geometry, GGA-PBE.

Output
- energy of formation from the pure elements (eV/atom) = 0.3079
- crystal system = orthorhombic
- density of states at the Fermi level (states/eV/f.u.) = 2.520

Unit cell a=3.0038 b=3.0038 c=7.8700 alpha=90.00 beta=90.00 gamma=113.81
With the nearest neighbours (Å) after each atom.
Element x y z (fractional)
Rh 0.5000 0.5000 0.2500  4 As 2.53
As 0.0000 0.0000 0.0050  2 Rh 2.53, 2 W 2.59
As 0.0000 0.0000 0.4950  2 Rh 2.53, 2 W 2.59
W 0.5000 0.5000 0.7500  4 As 2.59



(12)
AsRhW2: optimized geometry, GGA-PBE.

Output
- energy of formation from the pure elements (eV/atom) = 0.0998
- crystal system = tetragonal
- density of states at the Fermi level (states/eV/f.u.) = 2.180

Unit cell a=2.9634 b=2.9634 c=6.8972 alpha=90.00 beta=90.00 gamma=90.00
With the nearest neighbours (Å) after each atom.
Element x y z (fractional)
As 0.5000 0.5000 0.2500  8 W 2.65, 4 As 2.96
W 0.0000 0.0000 0.4846  4 As 2.65, 4 Rh 2.78, 4 W 2.96
W 0.0000 0.0000 0.0154  4 As 2.65, 4 Rh 2.78, 4 W 2.96
Rh 0.5000 0.5000 0.7500  8 W 2.78, 4 Rh 2.96



What did the third record say?
V2AsRh2: optimized geometry, GGA-PBE.

Output
- energy of formation from the pure elements (eV/atom) = -0.1589
- crystal system = tetragonal
- density of states at the Fermi level (states/eV/f.u.) = 4.479

Unit cell a=7.3596 b=7.3596 c=2.7733 alpha=90.00 beta=90.00 gamma=90.00
With the nearest neighbours (Å) after each atom.
Element x y z (fractional)
As 0.0000 0.0000 0.0000  2 As 2.77, 4 Rh 2.86, 8 V 3.10
As 0.5000 0.5000 0.0000  2 As 2.77, 4 Rh 2.86, 8 V 3.10
Rh 0.8650 0.6350 0.0000  6 V 2.56-2.57, 3 Rh 2.77-2.81
Rh 0.6350 0.1350 0.0000  6 V 2.56-2.57, 3 Rh 2.77-2.81
Rh 0.3650 0.8650 0.0000  6 V 2.56-2.57, 3 Rh 2.77-2.81
Rh 0.1350 0.3650 0.0000  6 V 2.56-2.57, 3 Rh 2.77-2.81
V 0.3414 0.1586 0.5000  6 Rh 2.56-2.57, 2 V 2.77
V 0.1586 0.6586 0.5000  6 Rh 2.56-2.57, 2 V 2.77
V 0.8414 0.3414 0.5000  6 Rh 2.56-2.57, 2 V 2.77
V 0.6586 0.8414 0.5000  6 Rh 2.56-2.57, 2 V 2.77



density of states at the Fermi level of number 7 (As2RhW2)? 3.182 states/eV/f.u.



Among the records above, which one has the highest energy of formation from the pure elements? VZnAs2Rh



Number 6 is which compound? As2RhW